The following is a PBE-GGA calculation of a geometry-optimized P4H36WC12Cl2 structure, from the Open Quantum Materials Database.

Results
* crystal system: tetragonal
* total energy: -283.0 eV for the cell shown

a = 9.0447 Å, b = 9.0447 Å, c = 9.0447 Å
α = 116.60°, β = 116.60°, γ = 96.00°
Sites, in units of the cell vectors:
H (0.5230, 0.1759, 0.5532)
H (0.9698, 0.6227, 0.4468)
H (0.4470, 0.9555, 0.1316)
H (0.0138, 0.3856, 0.7853)
C (0.9508, 0.7450, 0.4613)
H (0.7891, 0.7891, 0.6922)
H (0.7610, 0.1426, 0.1812)
H (0.1426, 0.7610, 0.1812)
C (0.7163, 0.2550, 0.2058)
C (0.2550, 0.7163, 0.2058)
C (0.3161, 0.8520, 0.0000)
Cl (0.2965, 0.2965, 0.0000)
H (0.8574, 0.0386, 0.6184)
H (0.1762, 0.0445, 0.4916)
C (0.2837, 0.4895, 0.5387)
C (0.0492, 0.5105, 0.7942)
H (0.6003, 0.2285, 0.2147)
C (0.8520, 0.3161, 0.0000)
H (0.4770, 0.0302, 0.6530)
H (0.3997, 0.6144, 0.6282)
H (0.6846, 0.5530, 0.5084)
H (0.9862, 0.7715, 0.3718)
H (0.9614, 0.5798, 0.8188)
H (0.8241, 0.3773, 0.3470)
H (0.1759, 0.5230, 0.5532)
H (0.0970, 0.0970, 0.3078)
Cl (0.7035, 0.7035, 0.0000)
P (0.6482, 0.2852, 0.0000)
W (0.5000, 0.5000, 0.0000)
H (0.7715, 0.9862, 0.3718)
H (0.3856, 0.0138, 0.7853)
H (0.9555, 0.4470, 0.1316)
H (0.6227, 0.9698, 0.4468)
C (0.4895, 0.2837, 0.5387)
P (0.2852, 0.6482, 0.0000)
H (0.2390, 0.4202, 0.3816)
H (0.6144, 0.3997, 0.6282)
H (0.5530, 0.6846, 0.5084)
H (0.3773, 0.8241, 0.3470)
H (0.0302, 0.4770, 0.6530)
H (0.9030, 0.2109, 0.0000)
C (0.7450, 0.9508, 0.4613)
P (0.7148, 0.7148, 0.3629)
H (0.4202, 0.2390, 0.3816)
H (0.0445, 0.1762, 0.4916)
H (0.2109, 0.9030, 0.0000)
H (0.3154, 0.8238, 0.8684)
H (0.5798, 0.9614, 0.8188)
H (0.2285, 0.6003, 0.2147)
C (0.6839, 0.6839, 0.5359)
P (0.3518, 0.3518, 0.6371)
C (0.1480, 0.1480, 0.4641)
H (0.0386, 0.8574, 0.6184)
H (0.8238, 0.3154, 0.8684)
C (0.5105, 0.0492, 0.7942)